The following is a GGA-PBEsol calculation of a geometry-optimized BePtAu2 structure, from Alexandria.

Geometry as CIF:
```
data_BePtAu2
_chemical_formula_sum 'Be1 Pt1 Au2'
_space_group_name_H-M_alt 'P 4 m m'
_space_group_IT_number 99
_cell_length_a 2.821
_cell_length_b 2.821
_cell_length_c 7.122
_cell_angle_alpha 90.00
_cell_angle_beta 90.00
_cell_angle_gamma 90.00
loop_
_space_group_symop_operation_xyz
'x,y,z'
'-y,x,z'
'-x,-y,z'
'y,-x,z'
'-x,y,z'
'y,x,z'
'x,-y,z'
'-y,-x,z'
loop_
_atom_site_label
_atom_site_type_symbol
_atom_site_fract_x
_atom_site_fract_y
_atom_site_fract_z
Be1 Be 0.000 0.000 0.000
Pt1 Pt 0.500 0.500 0.176
Au1 Au 0.000 0.000 0.472
Au2 Au 0.500 0.500 0.773
```

Summary:
As for the crystal system: tetragonal. Its uncorrected energy is -20.0 eV per formula unit.